Entry 1:
Entry from Alexandria: an optimized crystal structure of ZrSn2Ir (PBE).

```
ZrSn2Ir
1.0
3.205 0.000 0.000
-1.602 2.775 0.000
0.000 0.000 30.163
Zr Sn Ir
3 6 3
direct
0.000 0.000 0.000
0.333 0.667 0.667
0.667 0.333 0.333
0.000 0.000 0.098
0.000 0.000 0.902
0.333 0.667 0.568
0.333 0.667 0.765
0.667 0.333 0.235
0.667 0.333 0.432
0.000 0.000 0.500
0.333 0.667 0.167
0.667 0.333 0.833
```

Properties
**Formation energy**: 0.1291 eV per atom

***

Entry 2:
Entry from Alexandria: an optimized crystal structure of Ac8Rh3I3O (PBE).

```
Ac8Rh3I3O
1.0
8.540 0.000 0.000
3.929 7.591 0.000
3.940 2.389 8.595
Ac Rh I O
8 3 3 1
direct
0.191 0.191 0.338
0.240 0.707 0.303
0.274 0.274 0.684
0.291 0.763 0.695
0.709 0.237 0.305
0.726 0.726 0.316
0.760 0.293 0.697
0.809 0.809 0.662
0.000 0.500 0.500
0.500 0.000 0.500
0.500 0.500 0.500
0.000 0.000 0.000
0.000 0.500 0.000
0.500 0.000 0.000
0.000 0.000 0.500
```

Properties
**E_form (uncorrected)**: -1044 meV/atom

***

Entry 3:
Entry from Alexandria: an optimized crystal structure of Tb4Dy3In (PBE).

```
Tb4Dy3In
1.0
8.324 0.000 0.000
0.000 7.035 0.000
-0.782 0.000 8.301
Tb Dy In
8 6 2
direct
0.000 0.000 0.000
0.059 0.500 0.408
0.243 0.259 0.749
0.243 0.741 0.749
0.329 0.252 0.166
0.329 0.748 0.166
0.481 0.500 0.511
0.580 0.000 0.897
0.087 0.000 0.415
0.731 0.248 0.242
0.731 0.752 0.242
0.816 0.242 0.658
0.816 0.758 0.658
0.973 0.500 0.992
0.491 0.000 0.498
0.571 0.500 0.909
```

Properties
**Formation energy**: -0.1145 eV per atom
**Excess energy over the best structure of this formula in the dataset**: 0 meV per atom

***

Entry 4:
Entry from Alexandria: an optimized crystal structure of CoIrN (PBE).

```
CoIrN
1.0
2.722 0.000 0.000
-1.361 2.358 0.000
0.000 0.000 5.151
Co Ir N
1 1 1
direct
0.000 0.000 0.000
0.667 0.333 0.431
0.667 0.333 0.809
```

Properties
**E_form (uncorrected)**: 256 meV/atom
**Excess energy over the best structure of this formula in the dataset**: 14 meV per atom

***

Number 1: total magnetic moment 0.00 μB per cell. Number 2: total magnetic moment 0.00 μB per cell. Number 3: total magnetic moment 0.00 μB per cell. Number 4: total magnetic moment 0.00 μB per cell.